YBe2Si | the Alexandria database | PBE-GGA | relaxed; SG = Pmm2, No. 25; calculated density = 3.7 g/cm³; electronic total energy = -4.746 eV/atom
1.0
2.854 0.000 0.000
0.000 3.350 0.000
0.000 0.000 6.284
Y Be Si
1 2 1
direct
0.000 0.000 0.000
0.000 0.000 0.482
0.500 0.500 0.322
0.500 0.500 0.675